Below is crystalline NdZrPt at its relaxed geometry, with properties calculated at the PBE level.

Unit cell a=4.7240 b=4.7240 c=6.8547 alpha=90.00 beta=90.00 gamma=90.00
Atoms (fractional coordinates):
Zr1 0.0000 0.0000 0.5000
Zr2 0.5000 0.5000 0.5000
Pt1 0.5000 0.0000 0.6982
Pt2 0.0000 0.5000 0.3018
Nd1 0.0000 0.5000 0.8773
Nd2 0.5000 0.0000 0.1227

electronic total energy	-7.26	eV/atom
ρ	9.347	g/cm3
D(E_F)	2.47	states/eV/f.u.



Below is crystalline NdZrPt at its relaxed geometry, with properties calculated at the PBE level.

Unit cell a=3.4954 b=3.4954 c=6.4117 alpha=105.82 beta=105.82 gamma=90.00
Atoms (fractional coordinates):
Nd1 0.0075 0.0075 0.0150
Pt1 0.6929 0.6929 0.3858
Zr1 0.2996 0.2996 0.5992

electronic total energy	-7.06	eV/atom
ρ	9.891	g/cm3
D(E_F)	4.28	states/eV/f.u.



Below is crystalline NdZrPt2 at its relaxed geometry, with properties calculated at the PBE level.

Unit cell a=3.3927 b=3.3927 c=7.3786 alpha=90.00 beta=90.00 gamma=90.00
Atoms (fractional coordinates):
Pt1 0.0000 0.0000 0.2057
Pt2 0.0000 0.0000 0.7943
Zr1 0.5000 0.5000 0.0000
Nd1 0.5000 0.5000 0.5000

electronic total energy	-7.34	eV/atom
ρ	12.232	g/cm3
D(E_F)	3.19	states/eV/f.u.